BaNa2In | GGA-PBE | optimized geometry

Lattice parameters (Å, degrees): 5.129 5.129 24.920 90.00 90.00 90.00
Space group I-42d (No. 122)
One atom of each set of equivalent atoms:
Ba1 0.000 0.000 0.000 [4 per cell]
Na1 0.186 0.250 0.625 [8 per cell]
In1 0.000 0.000 0.500 [4 per cell]

The formation energy is 0.013 eV per atom.

---

Er4GaCu | GGA-PBE | optimized geometry

Lattice parameters (Å, degrees): 7.009 6.984 6.756 90.00 92.83 90.00
Space group P2_1/c (No. 14)
One atom of each set of equivalent atoms:
Er1 0.155 0.160 0.170 [4 per cell]
Er2 0.333 0.654 0.132 [4 per cell]
Ga1 0.500 0.000 0.000 [2 per cell]
Cu1 0.000 0.000 0.500 [2 per cell]

The formation energy is -0.103 eV per atom.

---

CaTlSn2Bi | GGA-PBE | optimized geometry

Lattice parameters (Å, degrees): 5.616 5.616 6.065 90.00 90.00 90.00
Space group P4/mmm (No. 123)
One atom of each set of equivalent atoms:
Ca1 0.000 0.000 0.000 [1 per cell]
Tl1 0.500 0.500 0.500 [1 per cell]
Sn1 0.000 0.500 0.500 [2 per cell]
Bi1 0.500 0.500 0.000 [1 per cell]

The formation energy is 0.350 eV per atom.

---

Pa3Sb2As | GGA-PBE | optimized geometry

Lattice parameters (Å, degrees): 7.379 12.763 7.432 90.00 109.28 90.00
Space group C2/m (No. 12)
One atom of each set of equivalent atoms:
Pa1 0.224 0.000 0.225 [4 per cell]
Pa2 0.246 0.174 0.765 [8 per cell]
Sb1 0.000 0.000 0.500 [2 per cell]
Sb2 0.000 0.343 0.500 [4 per cell]
Sb3 0.000 0.500 0.000 [2 per cell]
As1 0.000 0.170 0.000 [4 per cell]

The relative energy among the computed polymorphs is 0.00 kcal/mol of atoms. As for the formation energy (no corrections): -635 meV per atom.

---

Hf2BiH | GGA-PBE | optimized geometry

Lattice parameters (Å, degrees): 3.4040 3.4040 21.9761 90.00 90.00 120.00
Space group R-3m (No. 166, hexagonal axes)
One atom of each set of equivalent atoms:
Hf1 0.0000 0.0000 0.2201 [6 per cell]
Bi1 0.0000 0.0000 0.0000 [3 per cell]
H1 0.0000 0.0000 0.5000 [3 per cell]

The relative energy among the computed polymorphs is 4.66 kcal/mol of atoms.

---

La4AgIrBr2 | GGA-PBE | optimized geometry

Lattice parameters (Å, degrees): 7.515 4.300 8.224 90.00 107.55 90.00
Space group P2/m (No. 10)
One atom of each set of equivalent atoms:
La1 0.221 0.000 0.203 [2 per cell]
La2 0.235 0.500 0.790 [2 per cell]
Ag1 0.500 0.000 0.000 [1 per cell]
Ir1 0.000 0.500 0.000 [1 per cell]
Br1 0.000 0.000 0.500 [1 per cell]
Br2 0.500 0.500 0.500 [1 per cell]

As for the formation energy (no corrections): -968 meV per atom.

---

Tm3Si8Os3 | GGA-PBE | optimized geometry

Lattice parameters (Å, degrees): 14.917 4.168 8.401 90.00 119.22 90.00
Space group C2/m (No. 12)
One atom of each set of equivalent atoms:
Tm1 0.000 0.000 0.000 [2 per cell]
Tm2 0.205 0.500 0.658 [4 per cell]
Si1 0.015 0.500 0.700 [4 per cell]
Si2 0.118 0.000 0.382 [4 per cell]
Si3 0.138 0.500 0.253 [4 per cell]
Si4 0.140 0.000 0.840 [4 per cell]
Os1 0.000 0.000 0.500 [2 per cell]
Os2 0.174 0.500 0.007 [4 per cell]

As for the formation energy (no corrections): -572 meV per atom.

---

Be3TeSe | GGA-PBE | optimized geometry

Lattice parameters (Å, degrees): 4.748 4.748 4.748 90.00 90.00 90.00
Space group Pm-3m (No. 221)
One atom of each set of equivalent atoms:
Be1 0.000 0.000 0.500 [3 per cell]
Te1 0.000 0.000 0.000 [1 per cell]
Se1 0.500 0.500 0.500 [1 per cell]

The relative energy among the computed polymorphs is 8.64 kcal/mol of atoms. As for the formation energy (no corrections): 1073 meV per atom.

---

no.,E_tot (eV per atom),magnetic moment (Bohr magnetons per cell)
1,-1.812,0.0
2,-4.332,0.0
3,-2.901,0.0
4,-7.532,0.0
5,-6.820,0.0
6,-5.314,0.0
7,-7.035,0.0
8,-2.488,0.0